Here is a relaxed CsNpSb crystal from Alexandria. Energies are from GGA-PBE.

Unit cell a=8.4711 b=4.5282 c=14.2077 alpha=90.00 beta=102.25 gamma=90.00
Space group C2/m (No. 12)
Asymmetric unit:
Cs 0.2135 0.0000 0.1818 (multiplicity 4)
Np 0.1780 0.5000 0.4988 (multiplicity 4)
Sb 0.0438 0.0000 0.6265 (multiplicity 4)

Summary:
magnetic moment: 11.67 μB/cell
final energy: -6.133 eV/atom
ΔE_f (raw): -161 meV per atom


Here is a relaxed Zr2MnGe2 crystal from Alexandria. Energies are from GGA-PBE.

Unit cell a=4.3446 b=15.0029 c=5.6232 alpha=90.00 beta=90.00 gamma=90.00
Space group Cmc2_1 (No. 36)
Asymmetric unit:
Zr 0.0000 0.0000 0.0000 (multiplicity 4)
Zr 0.0000 0.2019 0.2530 (multiplicity 4)
Mn 0.0000 0.4027 0.2473 (multiplicity 4)
Ge 0.0000 0.1760 0.7524 (multiplicity 4)
Ge 0.0000 0.4216 0.7500 (multiplicity 4)

Summary:
magnetic moment: 9.16 μB/cell
formation energy from the elements: -0.487 eV/atom
final energy: -7.588 eV/atom


Here is a relaxed CePm2Ag crystal from Alexandria. Energies are from GGA-PBE.

Unit cell a=3.6766 b=3.6766 c=8.4224 alpha=90.00 beta=90.00 gamma=90.00
Space group P4/mmm (No. 123)
Asymmetric unit:
Ce 0.0000 0.0000 0.0000 (multiplicity 1)
Pm 0.5000 0.5000 0.2761 (multiplicity 2)
Ag 0.0000 0.0000 0.5000 (multiplicity 1)

Summary:
magnetic moment: 0.35 μB/cell
formation energy from the elements: -0.076 eV/atom
final energy: -4.648 eV/atom


Here is a relaxed SrAcAgCl6 crystal from Alexandria. Energies are from GGA-PBE.

Unit cell a=6.7484 b=6.7484 c=13.0600 alpha=90.00 beta=90.00 gamma=90.00
Space group P4_2nm (No. 102)
Asymmetric unit:
Sr 0.0000 0.0000 0.0000 (multiplicity 2)
Ac 0.0000 0.0000 0.3360 (multiplicity 2)
Ag 0.0000 0.0000 0.6680 (multiplicity 2)
Cl 0.1948 0.1948 0.5064 (multiplicity 4)
Cl 0.1957 0.1957 0.8289 (multiplicity 4)
Cl 0.1987 0.1987 0.1696 (multiplicity 4)

Summary:
magnetic moment: 0.00 μB/cell
final energy: -4.159 eV/atom
ΔE_f (raw): -1968 meV per atom


Here is a relaxed Na2NbZnW crystal from Alexandria. Energies are from GGA-PBE.

Unit cell a=5.7125 b=5.7125 c=4.6966 alpha=90.00 beta=90.00 gamma=90.00
Space group P4/mmm (No. 123)
Asymmetric unit:
Na 0.0000 0.5000 0.0000 (multiplicity 2)
Nb 0.0000 0.0000 0.5000 (multiplicity 1)
Zn 0.5000 0.5000 0.5000 (multiplicity 1)
W 0.0000 0.0000 0.0000 (multiplicity 1)

Summary:
magnetic moment: 0.60 μB/cell
formation energy from the elements: 1.543 eV/atom
final energy: -3.844 eV/atom


Here is a relaxed NaErSn2 crystal from Alexandria. Energies are from GGA-PBE.

Unit cell a=4.7552 b=4.7552 c=4.4852 alpha=90.00 beta=90.00 gamma=90.00
Space group P4/mmm (No. 123)
Asymmetric unit:
Na 0.0000 0.0000 0.0000 (multiplicity 1)
Er 0.5000 0.5000 0.0000 (multiplicity 1)
Sn 0.0000 0.5000 0.5000 (multiplicity 2)

Summary:
magnetic moment: 0.00 μB/cell
formation energy from the elements: -0.415 eV/atom
final energy: -3.887 eV/atom


Here is a relaxed Tb8NiIr2 crystal from Alexandria. Energies are from GGA-PBE.

Unit cell a=8.4123 b=12.2972 c=6.0942 alpha=90.00 beta=109.13 gamma=90.00
Space group Cm (No. 8)
Asymmetric unit:
Tb 0.0000 0.0000 0.0000 (multiplicity 2)
Tb 0.0697 0.3677 0.7965 (multiplicity 4)
Tb 0.1501 0.1324 0.5726 (multiplicity 4)
Tb 0.2147 0.5000 0.3825 (multiplicity 2)
Tb 0.3537 0.2075 0.1929 (multiplicity 4)
Ni 0.3568 0.0000 0.3799 (multiplicity 2)
Ir 0.3618 0.3144 0.6899 (multiplicity 4)

Summary:
magnetic moment: 0.00 μB/cell
formation energy from the elements: -0.352 eV/atom
final energy: -5.856 eV/atom


Here is a relaxed CoNi2Pt2 crystal from Alexandria. Energies are from GGA-PBE.

Unit cell a=7.2380 b=7.2380 c=2.6964 alpha=90.00 beta=90.00 gamma=90.00
Space group P4/mbm (No. 127)
Asymmetric unit:
Co 0.0000 0.0000 0.0000 (multiplicity 2)
Ni 0.1255 0.3745 0.5000 (multiplicity 4)
Pt 0.1710 0.6710 0.0000 (multiplicity 4)

Summary:
magnetic moment: 7.53 μB/cell
formation energy from the elements: 0.226 eV/atom
final energy: -5.924 eV/atom